(1)
4
Lattice="2.9090 0.0000 0.0000 0.0000 3.5900 0.0000 0.0000 0.0000 6.7024" Properties=species:S:1:pos:R:3 comment="P2OsAu PBE optimized geometry" delta_e_f_ev_per_atom=0.19 e_tot_ev_per_fu=-24.583 space_group="No. 25" m_tot_mub_per_fu=0.000 relative_energy_mev_per_atom=234.5 pbc="T T T"
P 0.0000 0.0000 5.5599
P 1.4545 1.7950 1.8133
Au 0.0000 0.0000 3.1111
Os 1.4545 1.7950 6.2717

---

(2)
4
Lattice="-2.3191 3.1695 2.0652 -3.8633 1.3806 -1.6903 -3.8050 -1.0115 2.0464" Properties=species:S:1:pos:R:3 comment="P2OsAu PBE optimized geometry" delta_e_f_ev_per_atom=0.97 e_tot_ev_per_fu=-21.453 space_group="No. 216" m_tot_mub_per_fu=0.000 relative_energy_mev_per_atom=1017.0 pbc="T T T"
Os -7.4905 2.6540 1.8160
P 0.0000 0.0000 0.0000
P -2.4968 0.8847 0.6053
Au -4.9937 1.7693 1.2107

---

(3)
4
Lattice="2.7949 0.0115 0.0000 -1.3931 2.4230 0.0000 0.0000 0.0000 10.4311" Properties=species:S:1:pos:R:3 comment="P2OsAu PBE optimized geometry" delta_e_f_ev_per_atom=0.43 e_tot_ev_per_fu=-23.616 space_group="No. 65" m_tot_mub_per_fu=0.000 relative_energy_mev_per_atom=476.3 pbc="T T T"
Au 0.7009 1.2172 2.6078
P 0.0000 0.0000 9.8064
P 0.0000 0.0000 5.8403
Os 0.7009 1.2172 7.8234

---

(4)
8
Lattice="-3.1499 -2.2041 0.8930 1.7295 -3.1404 -1.6506 5.2691 -2.9892 11.2078" Properties=species:S:1:pos:R:3 comment="RbPOsAu PBE optimized geometry" delta_e_f_ev_per_atom=-0.31 e_tot_ev_per_fu=-22.110 space_group="No. 129" m_tot_mub_per_fu=0.000 pbc="T T T"
Rb 3.5216 -3.5354 8.0568
Rb 0.3270 -4.7982 2.3934
Os -1.9301 -2.4382 0.2571
Os 0.5096 -2.9063 -1.0147
Au 3.1442 -4.4009 4.5892
Au 0.7045 -3.9328 5.8610
P 3.6683 -6.6938 9.5007
P 0.1803 -1.6399 0.9495